A geometry-optimized ReP2IrCl structure, computed with PBE.

Formation energy from raw total energies (eV/atom): 1.24
DOS(E_F) (states/eV/cell): 4.88
Offset from the most stable computed form (eV per atom): 0.0000

```
data_ReP2IrCl
_symmetry_space_group_name_H-M 'P 4/m m m'
_symmetry_Int_Tables_number 123
_symmetry_space_group_name_Hall '-P 4 2'
_cell_length_a 4.5868
_cell_length_b 4.5868
_cell_length_c 4.7171
_cell_angle_alpha 90.00
_cell_angle_beta 90.00
_cell_angle_gamma 90.00
loop_
_atom_site_label
_atom_site_type_symbol
_atom_site_fract_x
_atom_site_fract_y
_atom_site_fract_z
_atom_site_occupancy
Re1 Re 0.0000 0.0000 0.0000 1
P1 P 0.0000 0.5000 0.0000 1
Ir1 Ir 0.5000 0.5000 0.5000 1
Cl1 Cl 0.0000 0.0000 0.5000 1
```

---

A geometry-optimized RePIrCl2 structure, computed with PBE.

Formation energy from raw total energies (eV/atom): 1.33
DOS(E_F) (states/eV/cell): 9.20
Offset from the most stable computed form (eV per atom): 0.0429

```
data_RePIrCl2
_symmetry_space_group_name_H-M 'P 4/m m m'
_symmetry_Int_Tables_number 123
_symmetry_space_group_name_Hall '-P 4 2'
_cell_length_a 4.6300
_cell_length_b 4.6300
_cell_length_c 4.7656
_cell_angle_alpha 90.00
_cell_angle_beta 90.00
_cell_angle_gamma 90.00
loop_
_atom_site_label
_atom_site_type_symbol
_atom_site_fract_x
_atom_site_fract_y
_atom_site_fract_z
_atom_site_occupancy
Re1 Re 0.0000 0.0000 0.0000 1
P1 P 0.0000 0.0000 0.5000 1
Ir1 Ir 0.5000 0.5000 0.5000 1
Cl1 Cl 0.0000 0.5000 0.0000 1
```

---

A geometry-optimized ReP2IrCl structure, computed with PBE.

Formation energy from raw total energies (eV/atom): 1.37
DOS(E_F) (states/eV/cell): 3.32
Offset from the most stable computed form (eV per atom): 0.1297

```
data_ReP2IrCl
_symmetry_space_group_name_H-M 'P 4/m m m'
_symmetry_Int_Tables_number 123
_symmetry_space_group_name_Hall '-P 4 2'
_cell_length_a 4.6189
_cell_length_b 4.6189
_cell_length_c 4.7369
_cell_angle_alpha 90.00
_cell_angle_beta 90.00
_cell_angle_gamma 90.00
loop_
_atom_site_label
_atom_site_type_symbol
_atom_site_fract_x
_atom_site_fract_y
_atom_site_fract_z
_atom_site_occupancy
Re1 Re 0.0000 0.0000 0.0000 1
P1 P 0.0000 0.5000 0.5000 1
Ir1 Ir 0.5000 0.5000 0.5000 1
Cl1 Cl 0.5000 0.5000 0.0000 1
```

---

A geometry-optimized RePIrCl2 structure, computed with PBE.

Formation energy from raw total energies (eV/atom): 1.29
DOS(E_F) (states/eV/cell): 2.27
Offset from the most stable computed form (eV per atom): 0.0000

```
data_RePIrCl2
_symmetry_space_group_name_H-M 'P 4/m m m'
_symmetry_Int_Tables_number 123
_symmetry_space_group_name_Hall '-P 4 2'
_cell_length_a 4.8284
_cell_length_b 4.8284
_cell_length_c 4.6538
_cell_angle_alpha 90.00
_cell_angle_beta 90.00
_cell_angle_gamma 90.00
loop_
_atom_site_label
_atom_site_type_symbol
_atom_site_fract_x
_atom_site_fract_y
_atom_site_fract_z
_atom_site_occupancy
Re1 Re 0.0000 0.0000 0.0000 1
P1 P 0.5000 0.5000 0.0000 1
Ir1 Ir 0.5000 0.5000 0.5000 1
Cl1 Cl 0.0000 0.5000 0.5000 1
```

---

A geometry-optimized PIrRhCl2 structure, computed with PBE.

Formation energy from raw total energies (eV/atom): 1.05
DOS(E_F) (states/eV/cell): 6.66
Offset from the most stable computed form (eV per atom): 0.2400

```
data_PIrRhCl2
_symmetry_space_group_name_H-M 'P 4/m m m'
_symmetry_Int_Tables_number 123
_symmetry_space_group_name_Hall '-P 4 2'
_cell_length_a 4.7070
_cell_length_b 4.7070
_cell_length_c 4.6074
_cell_angle_alpha 90.00
_cell_angle_beta 90.00
_cell_angle_gamma 90.00
loop_
_atom_site_label
_atom_site_type_symbol
_atom_site_fract_x
_atom_site_fract_y
_atom_site_fract_z
_atom_site_occupancy
P1 P 0.0000 0.0000 0.0000 1
Ir1 Ir 0.5000 0.5000 0.0000 1
Rh1 Rh 0.0000 0.0000 0.5000 1
Cl1 Cl 0.0000 0.5000 0.5000 1
```

---

A geometry-optimized P2IrRhCl structure, computed with PBE.

Formation energy from raw total energies (eV/atom): 0.88
DOS(E_F) (states/eV/cell): 5.31
Offset from the most stable computed form (eV per atom): 0.0000

```
data_P2IrRhCl
_symmetry_space_group_name_H-M 'P 4/m m m'
_symmetry_Int_Tables_number 123
_symmetry_space_group_name_Hall '-P 4 2'
_cell_length_a 4.5174
_cell_length_b 4.5174
_cell_length_c 4.9576
_cell_angle_alpha 90.00
_cell_angle_beta 90.00
_cell_angle_gamma 90.00
loop_
_atom_site_label
_atom_site_type_symbol
_atom_site_fract_x
_atom_site_fract_y
_atom_site_fract_z
_atom_site_occupancy
P1 P 0.0000 0.5000 0.0000 1
Ir1 Ir 0.0000 0.0000 0.0000 1
Rh1 Rh 0.5000 0.5000 0.5000 1
Cl1 Cl 0.0000 0.0000 0.5000 1
```

---

Which formula does entry 4 have? RePIrCl2

---

Repeat the fifth record exactly.
A geometry-optimized PIrRhCl2 structure, computed with PBE.

Formation energy from raw total energies (eV/atom): 1.05
DOS(E_F) (states/eV/cell): 6.66
Offset from the most stable computed form (eV per atom): 0.2400

```
data_PIrRhCl2
_symmetry_space_group_name_H-M 'P 4/m m m'
_symmetry_Int_Tables_number 123
_symmetry_space_group_name_Hall '-P 4 2'
_cell_length_a 4.7070
_cell_length_b 4.7070
_cell_length_c 4.6074
_cell_angle_alpha 90.00
_cell_angle_beta 90.00
_cell_angle_gamma 90.00
loop_
_atom_site_label
_atom_site_type_symbol
_atom_site_fract_x
_atom_site_fract_y
_atom_site_fract_z
_atom_site_occupancy
P1 P 0.0000 0.0000 0.0000 1
Ir1 Ir 0.5000 0.5000 0.0000 1
Rh1 Rh 0.0000 0.0000 0.5000 1
Cl1 Cl 0.0000 0.5000 0.5000 1
```

---

Repeat the first record exactly.
A geometry-optimized ReP2IrCl structure, computed with PBE.

Formation energy from raw total energies (eV/atom): 1.24
DOS(E_F) (states/eV/cell): 4.88
Offset from the most stable computed form (eV per atom): 0.0000

```
data_ReP2IrCl
_symmetry_space_group_name_H-M 'P 4/m m m'
_symmetry_Int_Tables_number 123
_symmetry_space_group_name_Hall '-P 4 2'
_cell_length_a 4.5868
_cell_length_b 4.5868
_cell_length_c 4.7171
_cell_angle_alpha 90.00
_cell_angle_beta 90.00
_cell_angle_gamma 90.00
loop_
_atom_site_label
_atom_site_type_symbol
_atom_site_fract_x
_atom_site_fract_y
_atom_site_fract_z
_atom_site_occupancy
Re1 Re 0.0000 0.0000 0.0000 1
P1 P 0.0000 0.5000 0.0000 1
Ir1 Ir 0.5000 0.5000 0.5000 1
Cl1 Cl 0.0000 0.0000 0.5000 1
```